P:
Computed, not measured: a relaxed RbOsAu crystal at the PBE level of DFT.

The space group is F-43m (No. 216) and the conventional cell measures 7.518, 7.518 and 7.518 Å, with angles of 90.00, 90.00 and 90.00 degrees. The inequivalent atoms are Rb at (0.000, 0.000, 0.000), Os at (0.250, 0.250, 0.250) and Au at (0.250, 0.250, 0.750).

The total magnetic moment comes out at 1.251 μB per atom.

***

Q:
Computed, not measured: a relaxed RbOsAu crystal at the PBE level of DFT.

The space group is F-43m (No. 216) and the conventional cell measures 6.785, 6.785 and 6.785 Å, with angles of 90.00, 90.00 and 90.00 degrees. The inequivalent atoms are Rb at (0.000, 0.000, 0.000), Os at (0.250, 0.250, 0.750) and Au at (0.000, 0.000, 0.500).

The total magnetic moment comes out at 0.686 μB per atom.

***

What should be chosen as the least stable of them? Choose P.